No. 1
An optimized crystal structure of SrAc3In2. Source: the Alexandria database, functional GGA-PBE.

Unit cell a=18.3787 b=5.7995 c=8.9227 alpha=90.00 beta=96.29 gamma=90.00
Space group C2/m (No. 12)
Symmetry-distinct sites (fractional):
Sr  0.1585  0.0000  0.2825 (multiplicity 4)
Ac  0.0603  0.0000  0.8317 (multiplicity 4)
Ac  0.1201  0.5000  0.5478 (multiplicity 4)
Ac  0.1804  0.5000  0.9966 (multiplicity 4)
In  0.0305  0.5000  0.1766 (multiplicity 4)
In  0.2189  0.0000  0.6680 (multiplicity 4)

Values from the calculation:
Fermi-level density of states ... 21.6 states/eV per cell
Total magnetization ... 0.0000 μB/atom
Formation energy from the elements ... -22.6 kJ per mole of atoms
Relative energy among the computed polymorphs ... 0.070 eV per atom
Calculated volume ... 945 Å³/cell

---

No. 2
An optimized crystal structure of BaLiCd2Pt. Source: the Alexandria database, functional GGA-PBE.

Unit cell a=4.4015 b=4.4446 c=13.1340 alpha=90.00 beta=90.00 gamma=90.00
Space group Imm2 (No. 44)
Symmetry-distinct sites (fractional):
Ba  0.0000  0.0000  0.0000 (multiplicity 2)
Li  0.0000  0.5000  0.7124 (multiplicity 2)
Cd  0.0000  0.0000  0.3699 (multiplicity 2)
Cd  0.0000  0.5000  0.2216 (multiplicity 2)
Pt  0.0000  0.0000  0.5839 (multiplicity 2)

Values from the calculation:
Fermi-level density of states ... 5.5 states/eV per cell
Total magnetization ... 0.0000 μB/atom
Formation energy from the elements ... -42.7 kJ per mole of atoms
Relative energy among the computed polymorphs ... 0.000 eV per atom
Calculated volume ... 257 Å³/cell

---

No. 3
An optimized crystal structure of Zr2AlW. Source: the Alexandria database, functional GGA-PBE.

Unit cell a=2.9891 b=2.9891 c=30.0978 alpha=90.00 beta=90.00 gamma=120.00
Space group R-3m (No. 166, hexagonal axes)
Symmetry-distinct sites (fractional):
Zr  0.0000  0.0000  0.2490 (multiplicity 6)
Al  0.0000  0.0000  0.5000 (multiplicity 3)
W  0.0000  0.0000  0.0000 (multiplicity 3)

Values from the calculation:
Fermi-level density of states ... 11.1 states/eV per cell
Total magnetization ... 0.0000 μB/atom
Formation energy from the elements ... 14.1 kJ per mole of atoms
Calculated volume ... 233 Å³/cell

---

No. 4
An optimized crystal structure of LaSiOs2. Source: the Alexandria database, functional GGA-PBE.

Unit cell a=4.8418 b=4.8418 c=16.2604 alpha=90.00 beta=90.00 gamma=90.00
Space group I-42d (No. 122)
Symmetry-distinct sites (fractional):
La  0.0000  0.0000  0.0000 (multiplicity 4)
Si  0.0000  0.0000  0.5000 (multiplicity 4)
Os  0.0209  0.2500  0.6250 (multiplicity 8)

Values from the calculation:
Fermi-level density of states ... 12.7 states/eV per cell
Total magnetization ... 0.0000 μB/atom
E_form (uncorrected) ... 0.0696 eV per atom
Calculated volume ... 381 Å³/cell